Entry 1:
KHfBeO4 (PBE-GGA, relaxed); space-group type = P2_1/m (11); ρ = 5.57 g cm⁻³; energy relative to the elements, uncorrected = -1658 kJ/mol of formula units; VASP energy = -103.58 eV per cell; D(E_F) = 2.62 states/eV/cell; V = 12.37 Å³/atom
1.0
5.322 0.000 0.067
0.000 4.412 0.000
-1.981 0.000 7.350
K Hf Be O
2 2 2 8
direct
0.734 0.750 0.959
0.266 0.250 0.041
0.737 0.750 0.434
0.263 0.250 0.566
0.241 0.750 0.328
0.759 0.250 0.672
0.990 0.502 0.682
0.010 0.002 0.318
0.010 0.498 0.318
0.990 0.998 0.682
0.443 0.750 0.209
0.557 0.250 0.791
0.401 0.750 0.543
0.599 0.250 0.457



Entry 2:
KHfBeOs2 (PBE-GGA, relaxed); space-group type = P4/mmm (123); ρ = 11.31 g cm⁻³; VASP energy = -24.09 eV per cell; D(E_F) = 4.77 states/eV/cell; V = 17.82 Å³/atom
1.0
-3.451 -2.066 2.394
-1.513 -1.492 -3.468
2.640 -3.833 0.497
Hf K Os Be
1 1 2 1
direct
0.500 0.500 0.500
0.000 0.000 0.000
0.000 0.000 0.500
0.500 0.000 0.000
0.000 0.500 0.000



Entry 3:
K2HfBeP (PBE-GGA, relaxed); space-group type = P4/mmm (123); ρ = 2.89 g cm⁻³; VASP energy = -17.21 eV per cell; D(E_F) = 9.18 states/eV/cell; V = 34.04 Å³/atom
1.0
-3.737 5.318 1.590
-0.525 -1.412 3.490
5.473 3.212 2.123
P K Hf Be
1 2 1 1
direct
0.000 0.500 0.000
0.000 0.000 0.500
0.500 0.000 0.000
0.500 0.500 0.500
0.000 0.000 0.000



Entry 4:
K2HfBeRe (PBE-GGA, relaxed); space-group type = P4/mmm (123); ρ = 3.68 g cm⁻³; VASP energy = -15.65 eV per cell; D(E_F) = 6.36 states/eV/cell; V = 40.83 Å³/atom
1.0
6.675 0.000 0.000
0.000 4.582 0.000
0.000 0.000 6.675
Re K Hf Be
1 2 1 1
direct
0.500 0.500 0.500
0.000 0.000 0.500
0.500 0.000 0.000
0.000 0.000 0.000
0.000 0.500 0.000